The following is a DFT calculation (PBE with a Hubbard U) of RbSrWO4 after structural relaxation.

Results
SG: No. 11
Magnetic moment: 1.00 μB per formula unit
Final energy: -6.37 eV/atom
Volume: 21.9 A^3/atom

Lattice parameters (Å, degrees): 6.5582 6.3847 7.6240 90.00 106.14 90.00
Each line ends with the local moment (μB).
Fractional positions:
Rb: 0.7300 0.7500 0.9419  0.00
Rb: 0.2700 0.2500 0.0581  0.00
Sr: 0.8253 0.7500 0.4586  0.01
Sr: 0.1747 0.2500 0.5414  0.01
W: 0.2929 0.7500 0.3446  0.88
W: 0.7071 0.2500 0.6554  0.88
O: 0.9269 0.4620 0.6824  0.05
O: 0.0731 0.9620 0.3176  0.05
O: 0.0731 0.5380 0.3176  0.05
O: 0.9269 0.0380 0.6824  0.05
O: 0.4491 0.7500 0.1763  -0.02
O: 0.5509 0.2500 0.8237  -0.02
O: 0.4709 0.7500 0.5776  -0.02
O: 0.5291 0.2500 0.4224  -0.02